Entry 1:
VASP calculation (GGA-PBEsol) on a relaxed Sr2YAs crystal.

CIF file:
```
data_Sr2YAs
_symmetry_space_group_name_H-M 'P 1'
_symmetry_Int_Tables_number 1
_symmetry_space_group_name_Hall 'P 1'
_cell_length_a 5.512
_cell_length_b 5.512
_cell_length_c 5.512
_cell_angle_alpha 60.00
_cell_angle_beta 60.00
_cell_angle_gamma 60.00
loop_
_atom_site_label
_atom_site_fract_x
_atom_site_fract_y
_atom_site_fract_z
Sr1 0.000 0.000 0.000
Sr2 0.250 0.250 0.250
Y1 0.500 0.500 0.500
As1 0.750 0.750 0.750
```

## Properties
energy of formation = -0.04 eV per atom
space group = F-43m (216)



Entry 2:
VASP calculation (GGA-PBEsol) on a relaxed Mg2TlGe2 crystal.

CIF file:
```
data_Mg2TlGe2
_symmetry_space_group_name_H-M 'P 1'
_symmetry_Int_Tables_number 1
_symmetry_space_group_name_Hall 'P 1'
_cell_length_a 6.296
_cell_length_b 6.296
_cell_length_c 6.296
_cell_angle_alpha 137.02
_cell_angle_beta 137.02
_cell_angle_gamma 62.40
loop_
_atom_site_label
_atom_site_fract_x
_atom_site_fract_y
_atom_site_fract_z
Mg1 0.250 0.750 0.500
Mg2 0.750 0.250 0.500
Tl1 0.000 0.000 0.000
Ge1 0.390 0.390 0.000
Ge2 0.610 0.610 0.000
```

## Properties
energy of formation = -0.07 eV per atom
space group = I4/mmm (139)



Entry 3:
VASP calculation (GGA-PBEsol) on a relaxed NiIr2Rh crystal.

CIF file:
```
data_NiIr2Rh
_symmetry_space_group_name_H-M 'P 1'
_symmetry_Int_Tables_number 1
_symmetry_space_group_name_Hall 'P 1'
_cell_length_a 4.598
_cell_length_b 4.598
_cell_length_c 4.598
_cell_angle_alpha 132.24
_cell_angle_beta 132.24
_cell_angle_gamma 69.85
loop_
_atom_site_label
_atom_site_fract_x
_atom_site_fract_y
_atom_site_fract_z
Ni1 0.000 0.000 0.000
Ir1 0.250 0.750 0.500
Ir2 0.500 0.500 0.000
Rh1 0.750 0.250 0.500
```

## Properties
energy of formation = -0.01 eV per atom
space group = I-4m2 (119)



Entry 4:
VASP calculation (GGA-PBEsol) on a relaxed K2ZrSe crystal.

CIF file:
```
data_K2ZrSe
_symmetry_space_group_name_H-M 'P 1'
_symmetry_Int_Tables_number 1
_symmetry_space_group_name_Hall 'P 1'
_cell_length_a 5.887
_cell_length_b 5.887
_cell_length_c 5.887
_cell_angle_alpha 130.48
_cell_angle_beta 130.48
_cell_angle_gamma 72.64
loop_
_atom_site_label
_atom_site_fract_x
_atom_site_fract_y
_atom_site_fract_z
K1 0.000 0.000 0.000
K2 0.750 0.250 0.500
Zr1 0.250 0.750 0.500
Se1 0.500 0.500 0.000
```

## Properties
energy relative to the elements, uncorrected = 0.4130 eV per atom
space group = I-4m2 (119)



Entry 5:
VASP calculation (GGA-PBEsol) on a relaxed SrZn2Ir crystal.

CIF file:
```
data_SrZn2Ir
_symmetry_space_group_name_H-M 'P 1'
_symmetry_Int_Tables_number 1
_symmetry_space_group_name_Hall 'P 1'
_cell_length_a 5.810
_cell_length_b 5.810
_cell_length_c 7.364
_cell_angle_alpha 90.00
_cell_angle_beta 90.00
_cell_angle_gamma 138.17
loop_
_atom_site_label
_atom_site_fract_x
_atom_site_fract_y
_atom_site_fract_z
Sr1 0.055 0.945 0.750
Sr2 0.945 0.055 0.250
Zn1 0.326 0.674 0.563
Zn2 0.326 0.674 0.937
Zn3 0.674 0.326 0.063
Zn4 0.674 0.326 0.437
Ir1 0.225 0.775 0.250
Ir2 0.775 0.225 0.750
```

## Properties
energy of formation = -0.26 eV per atom
space group = Cmcm (63)



Entry 6:
VASP calculation (GGA-PBEsol) on a relaxed Cu2Au crystal.

CIF file:
```
data_Cu2Au
_symmetry_space_group_name_H-M 'P 1'
_symmetry_Int_Tables_number 1
_symmetry_space_group_name_Hall 'P 1'
_cell_length_a 3.424
_cell_length_b 3.424
_cell_length_c 3.883
_cell_angle_alpha 90.00
_cell_angle_beta 90.00
_cell_angle_gamma 90.00
loop_
_atom_site_label
_atom_site_fract_x
_atom_site_fract_y
_atom_site_fract_z
Cu1 0.000 0.500 0.000
Cu2 0.500 0.000 0.000
Au1 0.000 0.000 0.500
```

## Properties
energy of formation = 0.21 eV per atom
space group = P4/mmm (123)



Entry 7:
VASP calculation (GGA-PBEsol) on a relaxed Co4SiSb crystal.

CIF file:
```
data_Co4SiSb
_symmetry_space_group_name_H-M 'P 1'
_symmetry_Int_Tables_number 1
_symmetry_space_group_name_Hall 'P 1'
_cell_length_a 4.716
_cell_length_b 4.716
_cell_length_c 4.716
_cell_angle_alpha 60.00
_cell_angle_beta 60.00
_cell_angle_gamma 60.00
loop_
_atom_site_label
_atom_site_fract_x
_atom_site_fract_y
_atom_site_fract_z
Co1 0.124 0.124 0.124
Co2 0.124 0.124 0.627
Co3 0.124 0.627 0.124
Co4 0.627 0.124 0.124
Si1 0.750 0.750 0.750
Sb1 0.500 0.500 0.500
```

## Properties
energy relative to the elements, uncorrected = 0.2195 eV per atom
space group = F-43m (216)



Entry 8:
VASP calculation (GGA-PBEsol) on a relaxed AgGeTe2 crystal.

CIF file:
```
data_AgGeTe2
_symmetry_space_group_name_H-M 'P 1'
_symmetry_Int_Tables_number 1
_symmetry_space_group_name_Hall 'P 1'
_cell_length_a 7.838
_cell_length_b 7.838
_cell_length_c 7.838
_cell_angle_alpha 132.91
_cell_angle_beta 132.91
_cell_angle_gamma 68.79
loop_
_atom_site_label
_atom_site_fract_x
_atom_site_fract_y
_atom_site_fract_z
Ag1 0.000 0.000 0.000
Ag2 0.750 0.250 0.500
Ge1 0.250 0.750 0.500
Ge2 0.500 0.500 0.000
Te1 0.127 0.625 0.002
Te2 0.375 0.377 0.502
Te3 0.623 0.125 0.998
Te4 0.875 0.873 0.498
```

## Properties
energy relative to the elements, uncorrected = 0.0651 eV per atom
space group = I-42d (122)